A plane-wave DFT calculation with PBE was carried out for a relaxed structure of Tb4TlPd.

Computed properties:
- SG = C2/c, No. 15
- Fermi-level density of states (states/eV/cell) = 15.92
- energy relative to the elements (eV/atom) = -0.37

Cell lengths 5.9149, 8.5168, 8.2671 Å; angles 114.54, 102.36, 106.19 degrees
Atoms (fractional coordinates):
1 Tb 0.0419 0.2064 0.8504
2 Tb 0.7747 0.7000 0.6321
3 Tb 0.3085 0.6440 0.8504
4 Tb 0.3574 0.9321 0.6321
5 Tb 0.6426 0.0679 0.3679
6 Tb 0.6915 0.3560 0.1496
7 Tb 0.2253 0.3000 0.3679
8 Tb 0.9581 0.7936 0.1496
9 Tl 0.3719 0.6219 0.2439
10 Tl 0.6281 0.3781 0.7561
11 Pd 0.2492 0.9992 0.9985
12 Pd 0.7508 0.0008 0.0015

=====

A plane-wave DFT calculation with PBE was carried out for a relaxed structure of Y7Te2Ru2.

Computed properties:
- SG = Imm2, No. 44
- Fermi-level density of states (states/eV/cell) = 10.52
- raw formation energy (eV/atom) = -0.71

Cell lengths 3.9756, 9.4293, 9.4293 Å; angles 59.77, 77.83, 77.83 degrees
Atoms (fractional coordinates):
1 Y 0.8162 0.0820 0.2857
2 Y 0.8509 0.4113 0.8870
3 Y 0.5000 0.0222 0.9778
4 Y 0.6317 0.4738 0.2627
5 Y 0.3683 0.7373 0.5262
6 Y 0.1838 0.7143 0.9180
7 Y 0.1491 0.1130 0.5887
8 Te 0.0000 0.7586 0.2414
9 Te 0.5000 0.3574 0.6426
10 Ru 0.7392 0.8527 0.6689
11 Ru 0.2608 0.3311 0.1473

=====

A plane-wave DFT calculation with PBE was carried out for a relaxed structure of TbLu2Zr.

Computed properties:
- SG = R-3m, No. 166
- Fermi-level density of states (states/eV/cell) = 5.91
- energy relative to the elements (eV/atom) = 0.07

Cell lengths 3.4026, 3.4026, 11.3332 Å; angles 81.37, 81.37, 60.00 degrees
Atoms (fractional coordinates):
1 Lu 0.7449 0.7449 0.7654
2 Lu 0.2551 0.2551 0.2346
3 Tb 0.5000 0.5000 0.5000
4 Zr 0.0000 0.0000 0.0000

=====

A plane-wave DFT calculation with PBE was carried out for a relaxed structure of Rb2BeAuBr6.

Computed properties:
- SG = I4/mmm, No. 139
- Fermi-level density of states (states/eV/cell) = 5.54
- raw formation energy (eV/atom) = -0.90

Cell lengths 7.5360, 7.5360, 7.7483 Å; angles 60.90, 60.90, 90.00 degrees
Atoms (fractional coordinates):
1 Be 0.5000 0.5000 0.0000
2 Au 0.0000 0.0000 0.0000
3 Br 0.2205 0.2205 0.5591
4 Br 0.7795 0.7795 0.4409
5 Br 0.2823 0.2823 0.0000
6 Br 0.7177 0.7177 0.0000
7 Br 0.7177 0.2823 0.0000
8 Br 0.2823 0.7177 0.0000
9 Rb 0.7500 0.2500 0.5000
10 Rb 0.2500 0.7500 0.5000

=====

A plane-wave DFT calculation with PBE was carried out for a relaxed structure of Tb5Pr6Nd2.

Computed properties:
- SG = Pbam, No. 55
- Fermi-level density of states (states/eV/cell) = 31.23
- energy relative to the elements (eV/atom) = 0.10

Cell lengths 3.6763, 11.9198, 20.7900 Å; angles 90.00, 90.00, 90.00 degrees
Atoms (fractional coordinates):
1 Tb 0.5000 0.3008 0.4441
2 Tb 0.5000 0.6992 0.5559
3 Tb 0.5000 0.8008 0.0559
4 Tb 0.5000 0.1992 0.9441
5 Tb 0.5000 0.5917 0.2765
6 Tb 0.5000 0.4083 0.7235
7 Tb 0.5000 0.0917 0.2235
8 Tb 0.5000 0.9083 0.7765
9 Tb 0.5000 0.5000 0.0000
10 Tb 0.5000 0.0000 0.5000
11 Pr 0.0000 0.0803 0.3658
12 Pr 0.0000 0.9197 0.6342
13 Pr 0.0000 0.5803 0.1342
14 Pr 0.0000 0.4197 0.8658
15 Pr 0.5000 0.3224 0.1291
16 Pr 0.5000 0.6776 0.8709
17 Pr 0.5000 0.8224 0.3709
18 Pr 0.5000 0.1776 0.6291
19 Pr 0.0000 0.5594 0.4221
20 Pr 0.0000 0.4406 0.5779
21 Pr 0.0000 0.0594 0.0779
22 Pr 0.0000 0.9406 0.9221
23 Nd 0.0000 0.3321 0.2855
24 Nd 0.0000 0.6679 0.7145
25 Nd 0.0000 0.8321 0.2145
26 Nd 0.0000 0.1679 0.7855

=====

A plane-wave DFT calculation with PBE was carried out for a relaxed structure of La2Nd5Sm6.

Computed properties:
- SG = Pbam, No. 55
- Fermi-level density of states (states/eV/cell) = 34.03
- energy relative to the elements (eV/atom) = 0.09

Cell lengths 3.6699, 11.9632, 20.9447 Å; angles 90.00, 90.00, 90.00 degrees
Atoms (fractional coordinates):
1 La 0.0000 0.3259 0.2798
2 La 0.0000 0.6741 0.7202
3 La 0.0000 0.8259 0.2202
4 La 0.0000 0.1741 0.7798
5 Nd 0.5000 0.2992 0.4445
6 Nd 0.5000 0.7008 0.5555
7 Nd 0.5000 0.7992 0.0555
8 Nd 0.5000 0.2008 0.9445
9 Nd 0.5000 0.5852 0.2818
10 Nd 0.5000 0.4148 0.7182
11 Nd 0.5000 0.0852 0.2182
12 Nd 0.5000 0.9148 0.7818
13 Nd 0.5000 0.5000 0.0000
14 Nd 0.5000 0.0000 0.5000
15 Sm 0.0000 0.0746 0.3628
16 Sm 0.0000 0.9254 0.6372
17 Sm 0.0000 0.5746 0.1372
18 Sm 0.0000 0.4254 0.8628
19 Sm 0.5000 0.3182 0.1261
20 Sm 0.5000 0.6818 0.8739
21 Sm 0.5000 0.8182 0.3739
22 Sm 0.5000 0.1818 0.6261
23 Sm 0.0000 0.5620 0.4253
24 Sm 0.0000 0.4380 0.5747
25 Sm 0.0000 0.0620 0.0747
26 Sm 0.0000 0.9380 0.9253